The following is a PBE calculation of an optimized crystal structure of Hf2FeSi, from the Alexandria database.

```
Hf2FeSi
1.0
-4.0677 4.9691 4.8094
-3.4280 -1.1157 -1.7466
1.4096 -8.8096 2.8610
Si Hf Fe
4 8 4
Direct
0.5000 0.0000 0.0000
0.0000 0.0000 0.5000
0.5000 0.5000 0.5000
0.0000 0.5000 0.0000
0.3856 0.0000 0.6396
0.6144 0.5000 0.8604
0.3856 0.5000 0.1396
0.6144 0.0000 0.3604
0.8326 0.5000 0.2223
0.1674 0.0000 0.2777
0.8326 0.0000 0.7223
0.1674 0.5000 0.7777
0.8258 0.0000 0.0088
0.8258 0.5000 0.5088
0.1742 0.5000 0.4912
0.1742 0.0000 0.9912
```

Computed properties:
Raw formation energy   -39.6 kJ per mole of atoms